# K2SbH5O6

A geometry-optimized K2SbH5O6 structure (PBEsol, Alexandria).

Values from the calculation:
Calculated volume in Å³ per atom: 10.60
Raw total energy in Ry/atom: -0.389
Calculated density in g cm⁻³: 3.37
Magnetization in μB per atom: 0.005

```
K2SbH5O6
1.0
-2.019 4.742 0.750
-5.972 -1.566 -2.396
-4.027 -0.727 7.913
H K O Sb
10 4 12 2
Direct
0.616 0.073 0.269
0.384 0.927 0.731
0.204 0.567 0.383
0.796 0.433 0.617
0.601 0.463 0.221
0.399 0.537 0.779
0.210 0.358 0.983
0.790 0.642 0.017
0.212 0.928 0.409
0.788 0.072 0.591
0.228 0.813 0.068
0.772 0.187 0.932
0.320 0.274 0.578
0.680 0.726 0.422
0.840 0.284 0.486
0.160 0.716 0.514
0.249 0.242 0.059
0.751 0.758 0.941
0.813 0.050 0.230
0.187 0.950 0.770
0.271 0.484 0.288
0.729 0.516 0.712
0.291 0.046 0.331
0.709 0.954 0.669
0.796 0.483 0.180
0.204 0.517 0.820
0.030 0.265 0.272
0.970 0.735 0.728
```

=====

# LiHgN3

A geometry-optimized LiHgN3 structure (PBEsol, Alexandria).

Values from the calculation:
Calculated volume in Å³ per atom: 15.69
Raw total energy in Ry/atom: -0.254
Calculated density in g cm⁻³: 5.28
E_form (uncorrected) in meV/atom: 2166
Magnetization in μB per atom: 0.808

```
LiHgN3
1.0
-2.081 2.906 2.357
-0.113 -2.744 3.284
3.740 1.534 1.411
Li Hg N
1 1 3
Direct
0.500 0.500 0.500
0.000 0.000 0.000
0.000 0.500 0.000
0.000 0.000 0.500
0.500 0.000 0.000
```

=====

# K2TaSeO

A geometry-optimized K2TaSeO structure (PBEsol, Alexandria).

Values from the calculation:
Calculated volume in Å³ per atom: 42.29
Raw total energy in Ry/atom: -0.298
Calculated density in g cm⁻³: 2.78
E_form (uncorrected) in meV/atom: 735
Magnetization in μB per atom: 0.849

```
K2TaSeO
1.0
-2.334 -4.100 0.909
4.979 -3.438 -2.719
2.971 -0.379 5.919
K O Se Ta
2 1 1 1
Direct
0.000 0.000 0.500
0.000 0.500 0.000
0.500 0.500 0.500
0.500 0.000 0.000
0.000 0.000 0.000
```

=====

# TlC

A geometry-optimized TlC structure (PBEsol, Alexandria).

Values from the calculation:
Calculated volume in Å³ per atom: 15.86
Raw total energy in Ry/atom: -0.288
Calculated density in g cm⁻³: 11.33
Excess energy over the best structure of this formula in the dataset in meV per atom: 136
Magnetization in μB per atom: 0.000
ΔE_f in meV/atom: 2218

```
TlC
1.0
3.432 0.000 0.000
-1.716 2.972 0.000
0.000 0.000 6.219
Tl C
2 2
Direct
0.000 0.000 0.000
0.000 0.000 0.500
0.667 0.333 0.750
0.333 0.667 0.250
```

=====

# K2Cr2P3O12

A geometry-optimized K2Cr2P3O12 structure (PBEsol, Alexandria).

Values from the calculation:
Calculated volume in Å³ per atom: 12.06
Raw total energy in Ry/atom: -0.560
Calculated density in g cm⁻³: 3.39
E_form (uncorrected) in meV/atom: -2191
Magnetization in μB per atom: 0.263

```
K2Cr2P3O12
1.0
-2.832 -9.123 -1.760
7.514 -1.167 -6.044
5.465 -3.123 7.397
K Cr P O
8 8 12 48
Direct
0.817 0.817 0.817
0.683 0.183 0.317
0.183 0.317 0.683
0.317 0.683 0.183
0.042 0.042 0.042
0.458 0.958 0.542
0.958 0.542 0.458
0.542 0.458 0.958
0.338 0.338 0.338
0.162 0.662 0.838
0.662 0.838 0.162
0.838 0.162 0.662
0.607 0.607 0.607
0.893 0.393 0.107
0.393 0.107 0.893
0.107 0.893 0.393
0.027 0.206 0.378
0.473 0.794 0.878
0.973 0.706 0.122
0.378 0.027 0.206
0.527 0.294 0.622
0.878 0.473 0.794
0.122 0.973 0.706
0.622 0.527 0.294
0.206 0.378 0.027
0.706 0.122 0.973
0.294 0.622 0.527
0.794 0.878 0.473
0.013 0.055 0.328
0.487 0.945 0.828
0.987 0.555 0.172
0.328 0.013 0.055
0.513 0.445 0.672
0.828 0.487 0.945
0.172 0.987 0.555
0.672 0.513 0.445
0.055 0.328 0.013
0.555 0.172 0.987
0.445 0.672 0.513
0.945 0.828 0.487
0.179 0.243 0.400
0.321 0.757 0.900
0.821 0.743 0.100
0.400 0.179 0.243
0.679 0.257 0.600
0.900 0.321 0.757
0.100 0.821 0.743
0.600 0.679 0.257
0.243 0.400 0.179
0.743 0.100 0.821
0.257 0.600 0.679
0.757 0.900 0.321
0.047 0.799 0.226
0.453 0.201 0.726
0.953 0.299 0.274
0.226 0.047 0.799
0.547 0.701 0.774
0.726 0.453 0.201
0.274 0.953 0.299
0.774 0.547 0.701
0.799 0.226 0.047
0.299 0.274 0.953
0.701 0.774 0.547
0.201 0.726 0.453
0.269 0.484 0.453
0.231 0.516 0.953
0.731 0.984 0.047
0.453 0.269 0.484
0.769 0.016 0.547
0.953 0.231 0.516
0.047 0.731 0.984
0.547 0.769 0.016
0.484 0.453 0.269
0.984 0.047 0.731
0.016 0.547 0.769
0.516 0.953 0.231
```

=====

# MnSi2Br

A geometry-optimized MnSi2Br structure (PBEsol, Alexandria).

Values from the calculation:
Calculated volume in Å³ per atom: 16.84
Raw total energy in Ry/atom: -0.363
Calculated density in g cm⁻³: 4.71
E_form (uncorrected) in meV/atom: 841
Excess energy over the best structure of this formula in the dataset in meV per atom: 425
Magnetization in μB per atom: 0.854

```
MnSi2Br
1.0
4.567 0.000 0.000
2.284 3.955 0.000
2.284 1.318 3.729
Si Mn Br
2 1 1
Direct
0.250 0.250 0.250
0.750 0.750 0.750
0.000 0.000 0.000
0.500 0.500 0.500
```

=====

# Nb3AsIr

A geometry-optimized Nb3AsIr structure (PBEsol, Alexandria).

Values from the calculation:
Calculated volume in Å³ per atom: 22.34
Raw total energy in Ry/atom: -0.623
Calculated density in g cm⁻³: 8.11
Magnetization in μB per atom: 0.000
ΔE_f in meV/atom: 1000

```
Nb3AsIr
1.0
-2.131 -1.311 4.115
4.241 0.230 2.270
-0.814 4.628 1.053
Nb Ir As
3 1 1
Direct
0.000 0.500 0.000
0.000 0.000 0.500
0.500 0.000 0.000
0.000 0.000 0.000
0.500 0.500 0.500
```

=====

# BaDy2S4

A geometry-optimized BaDy2S4 structure (PBEsol, Alexandria).

Values from the calculation:
Calculated volume in Å³ per atom: 24.85
Raw total energy in Ry/atom: -0.471
Calculated density in g cm⁻³: 5.64
E_form (uncorrected) in meV/atom: -2175
Magnetization in μB per atom: 0.000

```
BaDy2S4
1.0
-2.526 -0.454 3.073
-0.986 -11.777 -2.550
11.092 -2.813 8.700
Ba Dy S
4 8 16
Direct
0.750 0.743 0.162
0.750 0.243 0.338
0.250 0.257 0.838
0.250 0.757 0.662
0.750 0.070 0.107
0.750 0.570 0.393
0.250 0.930 0.893
0.250 0.430 0.607
0.750 0.077 0.602
0.750 0.577 0.898
0.250 0.923 0.398
0.250 0.423 0.102
0.750 0.291 0.665
0.750 0.791 0.835
0.250 0.709 0.335
0.250 0.209 0.165
0.750 0.374 0.978
0.750 0.874 0.522
0.250 0.626 0.022
0.250 0.126 0.478
0.750 0.979 0.282
0.750 0.479 0.218
0.250 0.021 0.718
0.250 0.521 0.782
0.750 0.080 0.921
0.750 0.580 0.579
0.250 0.920 0.079
0.250 0.420 0.421
```

=====

# MgZnTc2

A geometry-optimized MgZnTc2 structure (PBEsol, Alexandria).

Values from the calculation:
Calculated volume in Å³ per atom: 15.44
Raw total energy in Ry/atom: -0.448
Calculated density in g cm⁻³: 7.68
Excess energy over the best structure of this formula in the dataset in meV per atom: 386
Magnetization in μB per atom: 0.000
ΔE_f in meV/atom: 356

```
MgZnTc2
1.0
-1.831 2.358 -1.265
-2.193 -2.201 -0.928
-2.779 0.600 5.143
Mg Tc Zn
1 2 1
Direct
0.500 0.500 0.500
0.000 0.000 0.804
0.000 0.000 0.196
0.500 0.500 0.000
```

=====

# Ga2Se3

A geometry-optimized Ga2Se3 structure (PBEsol, Alexandria).

Values from the calculation:
Calculated volume in Å³ per atom: 24.26
Raw total energy in Ry/atom: -0.309
Calculated density in g cm⁻³: 5.15
E_form (uncorrected) in meV/atom: -563
Magnetization in μB per atom: 0.000

```
Ga2Se3
1.0
6.633 0.013 0.000
2.138 6.292 0.000
-1.069 -3.146 5.816
Ga Se
4 6
Direct
0.495 0.279 0.497
0.995 0.782 0.503
0.499 0.586 0.172
0.999 0.414 0.828
0.111 0.750 0.156
0.611 0.594 0.844
0.642 0.210 0.164
0.142 0.046 0.836
0.606 0.903 0.527
0.106 0.376 0.473
```

=====

# MnNbSb2Te

A geometry-optimized MnNbSb2Te structure (PBEsol, Alexandria).

Values from the calculation:
Calculated volume in Å³ per atom: 29.99
Raw total energy in Ry/atom: -0.432
Calculated density in g cm⁻³: 5.75
E_form (uncorrected) in meV/atom: 769
Magnetization in μB per atom: 1.018

```
MnNbSb2Te
1.0
5.309 0.000 0.000
0.000 5.315 0.000
0.000 0.000 5.315
Sb Nb Te Mn
2 1 1 1
Direct
0.000 0.000 0.500
0.000 0.500 0.000
0.000 0.000 0.000
0.500 0.000 0.000
0.500 0.500 0.500
```

=====

# HfS2ICl

A geometry-optimized HfS2ICl structure (PBEsol, Alexandria).

Values from the calculation:
Calculated volume in Å³ per atom: 23.99
Raw total energy in Ry/atom: -0.388
Calculated density in g cm⁻³: 5.61
E_form (uncorrected) in meV/atom: -671
Magnetization in μB per atom: 0.001

```
HfS2ICl
1.0
4.893 0.000 0.000
0.000 4.951 0.000
0.000 0.000 4.951
I S Hf Cl
1 2 1 1
Direct
0.500 0.500 0.500
0.000 0.000 0.500
0.000 0.500 0.000
0.000 0.000 0.000
0.500 0.000 0.000
```